This record from the Alexandria database describes a geometry-optimized Fe2MoF8 structure. The functional is PBE+U.

Its density is 3.95 g/cm3. For the calculated total energy, the calculation gives -5.35 eV/atom. The crystal system is trigonal.

```
Fe2MoF8
1.0
4.021 0.000 0.000
0.000 5.707 -3.295
0.000 0.000 6.590
F Fe Mo
8 2 1
Direct
0.251 0.163 0.325
0.749 0.325 0.163
0.247 0.667 0.333
0.749 0.837 0.163
0.251 0.163 0.837
0.251 0.675 0.837
0.753 0.333 0.667
0.749 0.837 0.675
0.748 0.667 0.333
0.252 0.333 0.667
0.500 0.000 0.000
```